The following is a DFT calculation (PBE) of a relaxed structure of PuScMnTc. Values from VASP.

The formation energy is -65 meV per atom. The space-group type is No. 216. The calculated volume comes out at 70.5 Å³ per cell. As for the total moment: 2.02 μB/f.u.

```
&SYSTEM
  ibrav = 0, nat = 4, ntyp = 4
/
ATOMIC_SPECIES
Pu 244.00 Pu.upf
Sc 44.96 Sc.upf
Mn 54.94 Mn.upf
Tc 98.00 Tc.upf
ATOMIC_POSITIONS crystal
Pu 0.0000 0.0000 0.0000
Sc 0.5000 0.5000 0.5000
Mn 0.2500 0.2500 0.2500
Tc 0.7500 0.7500 0.7500
CELL_PARAMETERS angstrom
0.0000 3.2796 3.2796
3.2796 0.0000 3.2796
3.2796 3.2796 0.0000
```


The following is a DFT calculation (PBE) of a relaxed structure of Ti3BeSn. Values from VASP.

The formation energy is -126 meV per atom. The space-group type is No. 194. The calculated volume comes out at 165.3 Å³ per cell. For the offset from the most stable computed form, the calculation gives 0.0 meV/atom. As for the total moment: 0.00 μB/f.u.

```
&SYSTEM
  ibrav = 0, nat = 10, ntyp = 3
/
ATOMIC_SPECIES
Ti 47.87 Ti.upf
Be 9.01 Be.upf
Sn 118.71 Sn.upf
ATOMIC_POSITIONS crystal
Ti 0.1800 0.3600 0.2500
Ti 0.1800 0.8200 0.2500
Ti 0.3600 0.1800 0.7500
Ti 0.6400 0.8200 0.2500
Ti 0.8200 0.1800 0.7500
Ti 0.8200 0.6400 0.7500
Be 0.0000 0.0000 0.0000
Be 0.0000 0.0000 0.5000
Sn 0.3333 0.6667 0.7500
Sn 0.6667 0.3333 0.2500
CELL_PARAMETERS angstrom
6.1867 0.0000 0.0000
-3.0933 5.3578 0.0000
0.0000 0.0000 4.9865
```


The following is a DFT calculation (PBE) of a relaxed structure of Ce2H16S3O20. Values from VASP.

The space-group type is No. 15. Its final energy is -5.54 eV/atom. The calculated volume comes out at 1015.1 Å³ per cell. As for the total moment: 0.11 μB/f.u.

```
&SYSTEM
  ibrav = 0, nat = 82, ntyp = 4
/
ATOMIC_SPECIES
Ce 140.12 Ce.upf
H 1.01 H.upf
S 32.06 S.upf
O 16.00 O.upf
ATOMIC_POSITIONS crystal
Ce 0.1425 0.2143 0.4118
Ce 0.2143 0.1425 0.9118
Ce 0.7857 0.8575 0.0882
Ce 0.8575 0.7857 0.5882
H 0.0519 0.5109 0.2179
H 0.1300 0.5211 0.0042
H 0.1390 0.4429 0.2359
H 0.2088 0.6833 0.9288
H 0.2534 0.6137 0.5343
H 0.3167 0.7912 0.5712
H 0.3493 0.5379 0.1678
H 0.3609 0.3632 0.8355
H 0.3632 0.3609 0.3355
H 0.3863 0.7466 0.9657
H 0.3912 0.5274 0.6324
H 0.4429 0.1390 0.7359
H 0.4621 0.6507 0.3322
H 0.4726 0.6088 0.8676
H 0.4789 0.8700 0.4958
H 0.4891 0.9481 0.2821
H 0.5109 0.0519 0.7179
H 0.5211 0.1300 0.5042
H 0.5274 0.3912 0.1324
H 0.5379 0.3493 0.6678
H 0.5571 0.8610 0.2641
H 0.6088 0.4726 0.3676
H 0.6137 0.2534 0.0343
H 0.6368 0.6391 0.6645
H 0.6391 0.6368 0.1645
H 0.6507 0.4621 0.8322
H 0.6833 0.2088 0.4288
H 0.7466 0.3863 0.4657
H 0.7912 0.3167 0.0712
H 0.8610 0.5571 0.7641
H 0.8700 0.4789 0.9958
H 0.9481 0.4891 0.7821
S 0.0287 0.7039 0.4338
S 0.1958 0.8042 0.7500
S 0.2961 0.9713 0.0662
S 0.7039 0.0287 0.9338
S 0.8042 0.1958 0.2500
S 0.9713 0.2961 0.5662
O 0.0402 0.5664 0.0624
O 0.0675 0.8658 0.6962
O 0.0709 0.4178 0.6099
O 0.0731 0.8711 0.4063
O 0.1040 0.2074 0.5157
O 0.1289 0.9269 0.0937
O 0.1342 0.9325 0.8038
O 0.1454 0.4898 0.9579
O 0.2074 0.1040 0.0157
O 0.2207 0.5523 0.4582
O 0.2400 0.6906 0.5741
O 0.2572 0.2907 0.8429
O 0.2907 0.2572 0.3429
O 0.3094 0.7600 0.9259
O 0.4178 0.0709 0.1099
O 0.4336 0.9598 0.4376
O 0.4477 0.7793 0.0418
O 0.4858 0.4973 0.6683
O 0.4898 0.1454 0.4579
O 0.4973 0.4858 0.1683
O 0.5027 0.5142 0.8317
O 0.5102 0.8546 0.5421
O 0.5142 0.5027 0.3317
O 0.5523 0.2207 0.9582
O 0.5664 0.0402 0.5624
O 0.5822 0.9291 0.8901
O 0.6906 0.2400 0.0741
O 0.7093 0.7428 0.6571
O 0.7428 0.7093 0.1571
O 0.7600 0.3094 0.4259
O 0.7793 0.4477 0.5418
O 0.7926 0.8960 0.9843
O 0.8546 0.5102 0.0421
O 0.8658 0.0675 0.1962
O 0.8711 0.0731 0.9063
O 0.8960 0.7926 0.4843
O 0.9269 0.1289 0.5937
O 0.9291 0.5822 0.3901
O 0.9325 0.1342 0.3038
O 0.9598 0.4336 0.9376
CELL_PARAMETERS angstrom
5.5265 -4.0814 0.0000
5.5265 4.0814 0.0000
-2.7162 0.0000 22.5011
```


The following is a DFT calculation (PBE) of a relaxed structure of Si2TeAu. Values from VASP.

The value obtained for the raw formation energy is 542 meV/atom. The space-group type is No. 71. The calculated volume comes out at 82.0 Å³ per cell. As for the total moment: 0.00 μB/f.u.

```
&SYSTEM
  ibrav = 0, nat = 4, ntyp = 3
/
ATOMIC_SPECIES
Si 28.09 Si.upf
Te 127.60 Te.upf
Au 196.97 Au.upf
ATOMIC_POSITIONS crystal
Si 0.2124 0.2124 0.0000
Si 0.7876 0.7876 0.0000
Te 0.5000 0.0000 0.5000
Au 0.0000 0.5000 0.5000
CELL_PARAMETERS angstrom
-1.8582 2.2702 4.8576
1.8582 -2.2702 4.8576
1.8582 2.2702 -4.8576
```


The following is a DFT calculation (PBE) of a relaxed structure of SrTbCe2As4. Values from VASP.

The formation energy is -1372 meV per atom. The space-group type is No. 10. The calculated volume comes out at 218.6 Å³ per cell. As for the total moment: 0.97 μB/f.u.

```
&SYSTEM
  ibrav = 0, nat = 8, ntyp = 4
/
ATOMIC_SPECIES
Sr 87.62 Sr.upf
Tb 158.93 Tb.upf
Ce 140.12 Ce.upf
As 74.92 As.upf
ATOMIC_POSITIONS crystal
Sr 0.0000 0.0000 0.0000
Tb 0.0000 0.5000 0.5000
Ce 0.5000 0.0000 0.5000
Ce 0.5000 0.5000 0.0000
As 0.2548 0.0000 0.7416
As 0.2656 0.5000 0.2662
As 0.7344 0.5000 0.7338
As 0.7452 0.0000 0.2584
CELL_PARAMETERS angstrom
7.3433 0.0000 0.0000
0.0000 4.2583 0.0000
-2.4692 0.0000 6.9910
```


The following is a DFT calculation (PBE) of a relaxed structure of SmNbSi2Os. Values from VASP.

The value obtained for the raw formation energy is -613 meV/atom. The space-group type is No. 119. The calculated volume comes out at 90.8 Å³ per cell. As for the total moment: 0.00 μB/f.u.

```
&SYSTEM
  ibrav = 0, nat = 5, ntyp = 4
/
ATOMIC_SPECIES
Sm 150.36 Sm.upf
Nb 92.91 Nb.upf
Si 28.09 Si.upf
Os 190.23 Os.upf
ATOMIC_POSITIONS crystal
Sm 0.0000 0.0000 0.0000
Nb 0.2500 0.7500 0.5000
Si 0.3892 0.3892 0.0000
Si 0.6108 0.6108 0.0000
Os 0.7500 0.2500 0.5000
CELL_PARAMETERS angstrom
-2.0299 2.0299 5.5113
2.0299 -2.0299 5.5113
2.0299 2.0299 -5.5113
```


The following is a DFT calculation (PBE) of a relaxed structure of PaPd6Au. Values from VASP.

The formation energy is -223 meV per atom. The space-group type is No. 12. The calculated volume comes out at 153.2 Å³ per cell. As for the total moment: 0.00 μB/f.u.

```
&SYSTEM
  ibrav = 0, nat = 8, ntyp = 3
/
ATOMIC_SPECIES
Pa 231.04 Pa.upf
Pd 106.42 Pd.upf
Au 196.97 Au.upf
ATOMIC_POSITIONS crystal
Pa 0.0000 0.0000 0.0000
Pd 0.0421 0.5598 0.1991
Pd 0.1322 0.1322 0.4218
Pd 0.4402 0.9579 0.8009
Pd 0.5598 0.0421 0.1991
Pd 0.8678 0.8678 0.5782
Pd 0.9579 0.4402 0.8009
Au 0.5000 0.5000 0.5000
CELL_PARAMETERS angstrom
4.0581 -2.7453 0.0000
4.0581 2.7453 0.0000
-2.1167 0.0000 6.8763
```


The following is a DFT calculation (PBE) of a relaxed structure of Ca2AlIn. Values from VASP.

The formation energy is -322 meV per atom. The space-group type is No. 123. The calculated volume comes out at 108.5 Å³ per cell. For the offset from the most stable computed form, the calculation gives 2.2 meV/atom. As for the total moment: 0.00 μB/f.u.

```
&SYSTEM
  ibrav = 0, nat = 4, ntyp = 3
/
ATOMIC_SPECIES
Ca 40.08 Ca.upf
Al 26.98 Al.upf
In 114.82 In.upf
ATOMIC_POSITIONS crystal
Ca 0.0000 0.5000 0.0000
Ca 0.5000 0.0000 0.0000
Al 0.0000 0.0000 0.5000
In 0.5000 0.5000 0.5000
CELL_PARAMETERS angstrom
5.2833 0.0000 0.0000
0.0000 5.2833 0.0000
0.0000 0.0000 3.8857
```